Mg2Ga4NiPd: relaxed, PBE.

Lattice parameters (Å, degrees): 7.278 3.946 9.221 90.00 90.00 90.00
Space group Amm2 (No. 38)
One atom of each set of equivalent atoms:
Mg 0.000 0.000 0.000 (multiplicity 2)
Mg 0.500 0.000 0.134 (multiplicity 2)
Ga 0.187 0.000 0.707 (multiplicity 4)
Ga 0.290 0.000 0.425 (multiplicity 4)
Ni 0.000 0.000 0.284 (multiplicity 2)
Pd 0.500 0.000 0.846 (multiplicity 2)

SrAg2O4: relaxed, PBE.

Lattice parameters (Å, degrees): 6.162 6.162 10.285 90.00 90.00 90.00
Space group I4_1/a (No. 88, origin choice 2)
One atom of each set of equivalent atoms:
Sr 0.000 0.250 0.125 (multiplicity 4)
Ag 0.000 0.000 0.500 (multiplicity 8)
O 0.144 0.036 0.324 (multiplicity 16)

BaTbPt: relaxed, PBE.

Calculated values
- excess energy over the best structure of this formula in the dataset (meV/atom) = 799

Lattice parameters (Å, degrees): 7.069 7.069 7.069 90.00 90.00 90.00
Space group F-43m (No. 216)
One atom of each set of equivalent atoms:
Ba 0.000 0.000 0.000 (multiplicity 4)
Tb 0.250 0.250 0.250 (multiplicity 4)
Pt 0.250 0.250 0.750 (multiplicity 4)

Ba2ZrNb: relaxed, PBE.

Lattice parameters (Å, degrees): 7.881 7.881 7.881 90.00 90.00 90.00
Space group F-43m (No. 216)
One atom of each set of equivalent atoms:
Ba 0.000 0.000 0.000 (multiplicity 4)
Ba 0.250 0.250 0.250 (multiplicity 4)
Zr 0.000 0.000 0.500 (multiplicity 4)
Nb 0.250 0.250 0.750 (multiplicity 4)

ScZnOs: relaxed, PBE.

Calculated values
- ΔE_f (kJ/mol of formula units) = 60

Lattice parameters (Å, degrees): 6.141 6.141 6.141 90.00 90.00 90.00
Space group F-43m (No. 216)
One atom of each set of equivalent atoms:
Sc 0.000 0.000 0.000 (multiplicity 4)
Zn 0.000 0.000 0.500 (multiplicity 4)
Os 0.250 0.250 0.250 (multiplicity 4)

UGaNi: relaxed, PBE.

Lattice parameters (Å, degrees): 7.189 3.670 7.467 90.00 90.00 90.00
Space group Pnma (No. 62)
One atom of each set of equivalent atoms:
U 0.019 0.250 0.125 (multiplicity 4)
Ga 0.131 0.250 0.560 (multiplicity 4)
Ni 0.208 0.750 0.350 (multiplicity 4)

no.,VASP energy (eV per atom)
1,-3.65
2,-4.83
3,-3.87
4,-4.64
5,-6.07
6,-6.95